1.
Here is a relaxed Y2In4PdPt crystal from OQMD. Energies are from GGA-PBE.

POSCAR file:
```
Y2In4PdPt
1.0
7.4016 0.0000 0.0000
0.0000 2.2660 5.3221
0.0000 -2.2660 5.3221
Pd Y Pt In
1 2 1 4
direct
0.0000 0.2936 0.2936 Pd
0.5000 0.4231 0.4231 Y
0.0000 0.5760 0.5760 Y
0.5000 0.7064 0.7064 Pt
0.7987 0.8633 0.8633 In
0.2969 0.1371 0.1371 In
0.2013 0.8633 0.8633 In
0.7031 0.1371 0.1371 In
```

Calculated values
**SG**: Amm2
**ρ**: 8.730 Mg/m³
**Calculated total energy**: -5.091 eV/atom

2.
Here is a relaxed LiCdCoPb crystal from OQMD. Energies are from GGA-PBE.

POSCAR file:
```
LiCdCoPb
1.0
0.0000 3.2451 3.2451
3.2451 0.0000 3.2451
3.2451 3.2451 0.0000
Pb Co Li Cd
1 1 1 1
direct
0.0000 0.0000 0.0000 Pb
0.7500 0.7500 0.7500 Co
0.2500 0.2500 0.2500 Li
0.5000 0.5000 0.5000 Cd
```

Calculated values
**SG**: F-43m
**ρ**: 9.365 Mg/m³
**ΔE to the lowest computed polymorph**: 0.000 eV/atom
**Calculated total energy**: -3.333 eV/atom

3.
Here is a relaxed MgTc crystal from OQMD. Energies are from GGA-PBE.

POSCAR file:
```
MgTc
1.0
-2.2531 -1.4006 3.5831
-2.7518 -4.4236 -3.4595
3.2945 -2.8104 0.9730
Mg Tc
4 4
direct
0.4158 0.5004 0.5000 Mg
0.9158 0.7496 0.5000 Mg
0.4176 0.2496 0.0000 Mg
0.9176 0.0004 0.0000 Mg
0.4171 0.7513 0.0000 Tc
0.4163 0.9987 0.5000 Tc
0.9163 0.2513 0.5000 Tc
0.9171 0.4987 0.0000 Tc
```

Calculated values
**SG**: Pnma
**ρ**: 6.565 Mg/m³
**ΔE to the lowest computed polymorph**: 0.092 eV/atom
**Calculated total energy**: -5.886 eV/atom